# PBE+U AlFe2O, optimized geometry
# - E above lowest polymorph (meV per atom) = 0
# - energy (eV per cell) = -82.0
# - D(E_F) (states/eV per cell) = 3.85
data_AlFe2O
_space_group_name_H-M_alt 'I -4 2 d'
_space_group_IT_number 122
_space_group_name_Hall 'I -4 2bw'
_cell_length_a 6.0010
_cell_length_b 6.0010
_cell_length_c 7.2958
_cell_angle_alpha 90.00
_cell_angle_beta 90.00
_cell_angle_gamma 90.00
loop_
_atom_site_label
_atom_site_fract_x
_atom_site_fract_y
_atom_site_fract_z
_atom_site_occupancy
Al1 0.0000 0.0000 0.0000 1
Fe1 0.1549 0.7500 0.6250 1
O1 0.0000 0.0000 0.5000 1

---

# PBE+U AlFe3O, optimized geometry
# - E above lowest polymorph (meV per atom) = 1183
# - energy (eV per cell) = -18.0
# - D(E_F) (states/eV per cell) = 1.75
data_AlFe3O
_space_group_name_H-M_alt 'P m -3 m'
_space_group_IT_number 221
_space_group_name_Hall '-P 4 2 3'
_cell_length_a 4.6030
_cell_length_b 4.6030
_cell_length_c 4.6030
_cell_angle_alpha 90.00
_cell_angle_beta 90.00
_cell_angle_gamma 90.00
loop_
_atom_site_label
_atom_site_fract_x
_atom_site_fract_y
_atom_site_fract_z
_atom_site_occupancy
Al1 0.0000 0.0000 0.0000 1
Fe1 0.0000 0.0000 0.5000 1
O1 0.5000 0.5000 0.5000 1

---

# PBE+U Al2FeO4, optimized geometry
# - E above lowest polymorph (meV per atom) = 66
# - energy (eV per cell) = -202.0
# - D(E_F) (states/eV per cell) = 0.00
data_Al2FeO4
_space_group_name_H-M_alt 'I m m a'
_space_group_IT_number 74
_space_group_name_Hall '-I 2b 2'
_cell_length_a 5.7098
_cell_length_b 5.8706
_cell_length_c 8.2773
_cell_angle_alpha 90.00
_cell_angle_beta 90.00
_cell_angle_gamma 90.00
loop_
_atom_site_label
_atom_site_fract_x
_atom_site_fract_y
_atom_site_fract_z
_atom_site_occupancy
Al1 0.0000 0.0000 0.0000 1
Al2 0.0000 0.2500 0.3643 1
Fe1 0.2500 0.2500 0.7500 1
O1 0.0000 0.0078 0.2315 1
O2 0.2355 0.2500 0.0078 1

---

# PBE+U Al2FeO4, optimized geometry
# - E above lowest polymorph (meV per atom) = 66
# - energy (eV per cell) = -101.0
# - D(E_F) (states/eV per cell) = 0.00
data_Al2FeO4
_space_group_name_H-M_alt 'C 1 2/m 1'
_space_group_IT_number 12
_cell_length_a 11.0039
_cell_length_b 2.8668
_cell_length_c 4.8798
_cell_angle_alpha 90.00
_cell_angle_beta 113.75
_cell_angle_gamma 90.00
loop_
_space_group_symop_operation_xyz
'x,y,z'
'-x,-y,-z'
'-x,y,-z'
'x,-y,z'
'x+1/2,y+1/2,z'
'-x+1/2,-y+1/2,-z'
'-x+1/2,y+1/2,-z'
'x+1/2,-y+1/2,z'
loop_
_atom_site_label
_atom_site_fract_x
_atom_site_fract_y
_atom_site_fract_z
_atom_site_occupancy
Al1 0.2278 0.0000 0.2317 1
Fe1 0.0000 0.5000 0.5000 1
O1 0.1458 0.5000 0.3361 1
O2 0.1531 0.0000 0.8150 1

---

# PBE+U Al15Fe9O32, optimized geometry
# - energy (eV per cell) = -393.8
data_Al15Fe9O32
_space_group_name_H-M_alt 'P -1'
_space_group_IT_number 2
_cell_length_a 5.8191
_cell_length_b 5.8231
_cell_length_c 19.2768
_cell_angle_alpha 97.56
_cell_angle_beta 91.13
_cell_angle_gamma 119.57
loop_
_space_group_symop_operation_xyz
'x,y,z'
'-x,-y,-z'
loop_
_atom_site_label
_atom_site_fract_x
_atom_site_fract_y
_atom_site_fract_z
_atom_site_occupancy
Al1 0.0000 0.0000 0.0000 1
Al2 0.0000 0.0000 0.5000 1
Al3 0.0000 0.5000 0.0000 1
Al4 0.1238 0.7528 0.8755 1
Al5 0.2477 0.0063 0.7512 1
Al6 0.2479 0.5065 0.7511 1
Al7 0.2524 0.4942 0.2493 1
Al8 0.3672 0.2536 0.6259 1
Al9 0.5000 0.0000 0.0000 1
Al10 0.5000 0.5000 0.5000 1
Fe1 0.0307 0.5630 0.5951 1
Fe2 0.2198 0.9335 0.1561 1
Fe3 0.2844 0.0559 0.3430 1
Fe4 0.4691 0.4391 0.9072 1
Fe5 0.5000 0.0000 0.5000 1
O1 0.0414 0.5805 0.1898 1
O2 0.0464 0.1433 0.1917 1
O3 0.0624 0.6425 0.7005 1
O4 0.1006 0.1597 0.6924 1
O5 0.1451 0.3465 0.0590 1
O6 0.1867 0.8638 0.0511 1
O7 0.1899 0.9195 0.5642 1
O8 0.2012 0.3544 0.5566 1
O9 0.2881 0.0866 0.9410 1
O10 0.2939 0.6494 0.9427 1
O11 0.3138 0.1385 0.4481 1
O12 0.3594 0.6423 0.4387 1
O13 0.3935 0.8539 0.8102 1
O14 0.4346 0.3707 0.8018 1
O15 0.4587 0.8464 0.3066 1
O16 0.4644 0.4087 0.3089 1

---

# PBE+U AlFeO2, optimized geometry
# - energy (eV per cell) = -69.9
# - D(E_F) (states/eV per cell) = 4.23
data_AlFeO2
_space_group_name_H-M_alt 'R -3 m'
_space_group_IT_number 166
_space_group_name_Hall '-R 3 2"'
_cell_length_a 3.0288
_cell_length_b 3.0288
_cell_length_c 16.8852
_cell_angle_alpha 90.00
_cell_angle_beta 90.00
_cell_angle_gamma 120.00
loop_
_atom_site_label
_atom_site_fract_x
_atom_site_fract_y
_atom_site_fract_z
_atom_site_occupancy
Al1 0.0000 0.0000 0.0000 1
Fe1 0.0000 0.0000 0.5000 1
O1 0.0000 0.0000 0.1028 1